Record 1
Compound: YHg3Te
Source: Alexandria via LeMat-Bulk
Functional: PBEsol
Structure: relaxed

The structure in POSCAR format:
```
YHg3Te
1.0
-2.391 4.392 2.593
-0.550 -3.069 4.691
5.071 1.738 1.732
Hg Te Y
3 1 1
Direct
0.000 0.500 0.000
0.500 0.000 0.000
0.000 0.000 0.500
0.500 0.500 0.500
0.000 0.000 0.000
```

formation energy without anion corrections	414	meV/atom
SG	Pm-3m (221)
crystal system	cubic


Record 2
Compound: YHg2Te
Source: Alexandria via LeMat-Bulk
Functional: PBEsol
Structure: relaxed

The structure in POSCAR format:
```
YHg2Te
1.0
3.904 0.000 0.000
0.000 3.901 0.161
0.000 -0.283 6.583
Hg Te Y
2 1 1
Direct
0.500 0.498 0.223
0.000 0.998 0.015
0.000 0.001 0.528
0.500 0.502 0.734
```

formation energy without anion corrections	-629	meV/atom
SG	Pm (6)
crystal system	monoclinic


Record 3
Compound: YHgTe2
Source: Alexandria via LeMat-Bulk
Functional: PBEsol
Structure: relaxed

The structure in POSCAR format:
```
YHgTe2
1.0
3.928 0.000 0.000
0.000 5.122 0.000
0.000 0.000 5.121
Te Y Hg
2 1 1
Direct
0.000 0.000 0.000
0.000 0.500 0.500
0.500 0.500 0.000
0.500 0.000 0.500
```

formation energy without anion corrections	-682	meV/atom
SG	P4/mmm (123)
excess energy over the best structure of this formula in the dataset	0.233	eV per atom
crystal system	tetragonal


Record 4
Compound: YHgTe
Source: Alexandria via LeMat-Bulk
Functional: PBEsol
Structure: relaxed

The structure in POSCAR format:
```
YHgTe
1.0
-3.587 -2.857 2.068
-0.243 -4.906 -1.082
1.204 -3.409 3.497
Te Y Hg
1 1 1
Direct
0.500 0.500 0.500
0.250 0.250 0.250
0.000 0.000 0.000
```

formation energy without anion corrections	-621	meV/atom
SG	F-43m (216)
crystal system	cubic


Record 5
Compound: YHgTe2
Source: Alexandria via LeMat-Bulk
Functional: PBEsol
Structure: relaxed

The structure in POSCAR format:
```
YHgTe2
1.0
4.118 0.000 0.000
0.000 4.356 0.000
-2.059 0.000 6.052
Y Te Hg
1 2 1
Direct
0.545 0.500 0.091
0.975 0.000 0.949
0.245 0.500 0.490
0.735 0.000 0.469
```

formation energy without anion corrections	-916	meV/atom
SG	Amm2 (38)
excess energy over the best structure of this formula in the dataset	0.000	eV per atom
crystal system	orthorhombic


Record 6
Compound: YHgTe2
Source: Alexandria via LeMat-Bulk
Functional: PBEsol
Structure: relaxed

The structure in POSCAR format:
```
YHgTe2
1.0
4.086 0.000 0.000
2.043 3.538 0.000
2.043 1.179 9.280
Te Y Hg
2 1 1
Direct
0.104 0.104 0.688
0.896 0.896 0.312
0.000 0.000 0.000
0.500 0.500 0.500
```

formation energy without anion corrections	13	meV/atom
SG	R-3m (166)
excess energy over the best structure of this formula in the dataset	0.928	eV per atom
crystal system	trigonal


Record 7
Compound: YHgTe2
Source: Alexandria via LeMat-Bulk
Functional: PBEsol
Structure: relaxed

The structure in POSCAR format:
```
YHgTe2
1.0
5.288 0.000 0.000
-2.644 4.645 0.009
0.000 3.001 4.354
Y Hg Te
1 1 2
Direct
0.500 0.000 0.500
0.000 0.000 0.000
0.250 0.500 0.250
0.750 0.500 0.750
```

formation energy without anion corrections	-664	meV/atom
SG	I4/mmm (139)
excess energy over the best structure of this formula in the dataset	0.252	eV per atom
crystal system	tetragonal


Record 8
Compound: Y2HgTe
Source: Alexandria via LeMat-Bulk
Functional: PBEsol
Structure: relaxed

The structure in POSCAR format:
```
Y2HgTe
1.0
-3.488 2.207 1.328
-2.040 -3.731 0.844
4.748 0.831 4.012
Te Y Hg
1 2 1
Direct
0.250 0.750 0.500
0.750 0.250 0.500
0.000 0.000 0.000
0.500 0.500 0.000
```

formation energy without anion corrections	-749	meV/atom
SG	I-4m2 (119)
excess energy over the best structure of this formula in the dataset	0.205	eV per atom
crystal system	tetragonal


Record 9
Compound: Y2HgTe
Source: Alexandria via LeMat-Bulk
Functional: PBEsol
Structure: relaxed

The structure in POSCAR format:
```
Y2HgTe
1.0
-0.414 4.035 0.543
-3.363 1.489 1.796
2.121 1.273 7.578
Y Hg Te
2 1 1
Direct
0.249 0.249 0.252
0.751 0.751 0.748
0.500 0.500 0.500
0.000 0.000 0.000
```

formation energy without anion corrections	-954	meV/atom
SG	R-3m (166)
excess energy over the best structure of this formula in the dataset	0.000	eV per atom
crystal system	trigonal


Record 10
Compound: Y2HgTe
Source: Alexandria via LeMat-Bulk
Functional: PBEsol
Structure: relaxed

The structure in POSCAR format:
```
Y2HgTe
1.0
4.580 0.000 0.000
2.290 4.931 0.038
2.290 1.982 4.515
Te Y Hg
1 2 1
Direct
0.000 0.500 0.500
0.253 0.747 0.747
0.747 0.253 0.253
0.500 0.000 0.000
```

formation energy without anion corrections	-782	meV/atom
SG	Immm (71)
excess energy over the best structure of this formula in the dataset	0.172	eV per atom
crystal system	orthorhombic


Record 11
Compound: YHg2Te
Source: Alexandria via LeMat-Bulk
Functional: PBEsol
Structure: relaxed

The structure in POSCAR format:
```
YHg2Te
1.0
4.041 0.101 0.000
-0.098 4.041 0.000
0.000 0.000 6.117
Hg Te Y
2 1 1
Direct
0.000 0.000 0.753
0.000 0.000 0.247
0.500 0.500 0.500
0.500 0.500 0.000
```

formation energy without anion corrections	-429	meV/atom
SG	P4/mmm (123)
crystal system	tetragonal


Record 12
Compound: ZnHgTe3
Source: Alexandria via LeMat-Bulk
Functional: PBEsol
Structure: relaxed

The structure in POSCAR format:
```
ZnHgTe3
1.0
5.535 0.000 0.000
0.000 5.535 0.000
0.000 0.000 5.535
Te Zn Hg
3 1 1
Direct
0.000 0.500 0.000
0.000 0.000 0.500
0.500 0.000 0.000
0.500 0.500 0.500
0.000 0.000 0.000
```

formation energy without anion corrections	767	meV/atom
SG	Pm-3m (221)
crystal system	cubic